Compound: CaAs2SeN
Source: the Alexandria database
Functional: SCAN
Structure: single point on PBEsol structure

For the volume, the calculation gives 17.5 A^3/atom. Its uncorrected formation energy is 169 meV per atom. For the total energy, the calculation gives -15.714 eV per atom. As for the space group: P4/mmm (123).

```
CaAs2SeN
1.0
-3.266 2.856 -0.923
-2.976 -2.906 1.539
0.387 1.756 4.064
As Ca Se N
2 1 1 1
direct
0.000 0.500 0.000
0.500 0.000 0.000
0.500 0.500 0.500
0.000 0.000 0.500
0.000 0.000 0.000
```

Compound: NaLi2TeH
Source: the Alexandria database
Functional: SCAN
Structure: single point on PBEsol structure

For the volume, the calculation gives 24.1 A^3/atom. For the total energy, the calculation gives -10.018 eV per atom. As for the space group: P4/mmm (123).

```
NaLi2TeH
1.0
3.967 0.000 0.000
0.000 5.506 0.000
0.000 0.000 5.506
Na Te Li H
1 1 2 1
direct
0.500 0.500 0.500
0.000 0.000 0.000
0.000 0.000 0.500
0.000 0.500 0.000
0.500 0.000 0.000
```

Compound: HgAsPb
Source: the Alexandria database
Functional: SCAN
Structure: single point on PBEsol structure

For the volume, the calculation gives 28.4 A^3/atom. The formation energy comes out at 29 kJ per mole of atoms. For the total energy, the calculation gives -54.413 eV per atom. As for the space group: F-43m (216).

```
HgAsPb
1.0
4.936 0.000 0.000
2.468 4.275 0.000
2.468 1.425 4.031
Pb As Hg
1 1 1
direct
0.250 0.250 0.250
0.000 0.000 0.000
0.500 0.500 0.500
```

Compound: ZrBe2As
Source: the Alexandria database
Functional: SCAN
Structure: single point on PBEsol structure

For the volume, the calculation gives 14.8 A^3/atom. The formation energy comes out at 11 kJ per mole of atoms. For the total energy, the calculation gives -14.783 eV per atom. As for the space group: C2/m (12).

```
ZrBe2As
1.0
-0.719 1.943 1.917
-3.601 0.898 -3.251
-0.536 -3.989 2.854
Be As Zr
2 1 1
direct
0.000 0.000 0.500
0.000 0.500 0.000
0.500 0.000 0.000
0.500 0.500 0.500
```

Compound: MgZr2Te
Source: the Alexandria database
Functional: SCAN
Structure: single point on PBEsol structure

For the volume, the calculation gives 21.8 A^3/atom. Its uncorrected formation energy is -304 meV per atom. For the total energy, the calculation gives -26.210 eV per atom. As for the space group: Cm (8). Its polymorph energy (0 for the lowest one) is 0.0435 eV/atom.

```
MgZr2Te
1.0
3.509 0.000 0.000
0.000 4.995 -0.011
-1.754 -2.476 4.976
Mg Te Zr
1 1 2
direct
0.507 0.456 0.015
0.255 0.811 0.510
0.990 0.941 0.981
0.747 0.292 0.494
```

Compound: CsY3S
Source: the Alexandria database
Functional: SCAN
Structure: single point on PBEsol structure

For the volume, the calculation gives 31.2 A^3/atom. Its uncorrected formation energy is -239 meV per atom. For the total energy, the calculation gives -26.433 eV per atom. As for the space group: Pm-3m (221).

```
CsY3S
1.0
5.385 0.000 0.000
0.000 5.385 0.000
0.000 0.000 5.385
Cs Y S
1 3 1
direct
0.500 0.500 0.500
0.000 0.500 0.000
0.000 0.000 0.500
0.500 0.000 0.000
0.000 0.000 0.000
```